# 1
Computed, not measured: LuGaPdPt after structural relaxation at the PBE level of DFT.

Unit cell a=4.3665 b=4.3665 c=8.9195 alpha=90.00 beta=90.00 gamma=120.00
Element x y z (fractional)
Lu: 0.3333 0.6667 0.2540
Lu: 0.6667 0.3333 0.7460
Ga: 0.0000 0.0000 0.0000
Ga: 0.0000 0.0000 0.5000
Pd: 0.3333 0.6667 0.9175
Pd: 0.6667 0.3333 0.0825
Pt: 0.3333 0.6667 0.5897
Pt: 0.6667 0.3333 0.4103

## Properties
Raw total energy (eV for the cell shown): -45.64

***

# 2
Computed, not measured: Lu2GaSbPd4 after structural relaxation at the PBE level of DFT.

Unit cell a=4.4629 b=4.4629 c=8.9232 alpha=90.00 beta=90.00 gamma=120.00
Element x y z (fractional)
Lu: 0.3333 0.6667 0.2567
Lu: 0.6667 0.3333 0.7433
Ga: 0.0000 0.0000 0.5000
Sb: 0.0000 0.0000 0.0000
Pd: 0.3333 0.6667 0.5789
Pd: 0.3333 0.6667 0.9044
Pd: 0.6667 0.3333 0.0956
Pd: 0.6667 0.3333 0.4211

## Properties
Raw total energy (eV for the cell shown): -44.07

***

# 3
Computed, not measured: TbLuGa2Pd4 after structural relaxation at the PBE level of DFT.

Unit cell a=4.3901 b=4.3901 c=8.9917 alpha=90.00 beta=90.00 gamma=120.00
Element x y z (fractional)
Tb: 0.0000 0.0000 0.0000
Lu: 0.3333 0.6667 0.5000
Ga: 0.6667 0.3333 0.2514
Ga: 0.6667 0.3333 0.7486
Pd: 0.0000 0.0000 0.3366
Pd: 0.0000 0.0000 0.6634
Pd: 0.3333 0.6667 0.1720
Pd: 0.3333 0.6667 0.8280

## Properties
Raw total energy (eV for the cell shown): -43.12

***

# 4
Computed, not measured: PrLuGaTe3 after structural relaxation at the PBE level of DFT.

Unit cell a=7.9545 b=7.9545 c=10.5429 alpha=90.00 beta=90.00 gamma=149.29
Element x y z (fractional)
Pr: 0.2225 0.7775 0.7500
Pr: 0.7775 0.2225 0.2500
Lu: 0.0000 0.0000 0.0000
Lu: 0.0000 0.0000 0.5000
Ga: 0.4729 0.5271 0.2500
Ga: 0.5271 0.4729 0.7500
Te: 0.1159 0.8841 0.2500
Te: 0.3508 0.6492 0.0357
Te: 0.3508 0.6492 0.4643
Te: 0.6492 0.3508 0.5357
Te: 0.6492 0.3508 0.9643
Te: 0.8841 0.1159 0.7500

## Properties
Raw total energy (eV for the cell shown): -54.87

***

# 5
Computed, not measured: LuGaPt2 after structural relaxation at the PBE level of DFT.

Unit cell a=4.6467 b=4.6467 c=4.6467 alpha=60.00 beta=60.00 gamma=60.00
Element x y z (fractional)
Lu: 0.0000 0.0000 0.0000
Ga: 0.7500 0.7500 0.7500
Pt: 0.2500 0.2500 0.2500
Pt: 0.5000 0.5000 0.5000

## Properties
Raw total energy (eV for the cell shown): -22.57

***

# 6
Computed, not measured: LuScGa2Pt4 after structural relaxation at the PBE level of DFT.

Unit cell a=4.3268 b=4.3268 c=8.8304 alpha=90.00 beta=90.00 gamma=120.00
Element x y z (fractional)
Lu: 0.0000 0.0000 0.0000
Sc: 0.6667 0.3333 0.5000
Ga: 0.3333 0.6667 0.2536
Ga: 0.3333 0.6667 0.7464
Pt: 0.0000 0.0000 0.3429
Pt: 0.0000 0.0000 0.6571
Pt: 0.6667 0.3333 0.1652
Pt: 0.6667 0.3333 0.8348

## Properties
Raw total energy (eV for the cell shown): -49.59

***

# 7
Computed, not measured: Lu2GaSnPt4 after structural relaxation at the PBE level of DFT.

Unit cell a=4.4461 b=4.4461 c=8.9763 alpha=90.00 beta=90.00 gamma=120.00
Element x y z (fractional)
Lu: 0.3333 0.6667 0.2430
Lu: 0.6667 0.3333 0.7570
Ga: 0.0000 0.0000 0.0000
Sn: 0.0000 0.0000 0.5000
Pt: 0.3333 0.6667 0.5960
Pt: 0.3333 0.6667 0.9165
Pt: 0.6667 0.3333 0.0835
Pt: 0.6667 0.3333 0.4040

## Properties
Raw total energy (eV for the cell shown): -48.62

***

# 8
Computed, not measured: TmLuGa2Pt4 after structural relaxation at the PBE level of DFT.

Unit cell a=4.3577 b=4.3577 c=8.9874 alpha=90.00 beta=90.00 gamma=120.00
Element x y z (fractional)
Tm: 0.0000 0.0000 0.0000
Lu: 0.6667 0.3333 0.5000
Ga: 0.3333 0.6667 0.2501
Ga: 0.3333 0.6667 0.7499
Pt: 0.0000 0.0000 0.3386
Pt: 0.0000 0.0000 0.6614
Pt: 0.6667 0.3333 0.1634
Pt: 0.6667 0.3333 0.8366

## Properties
Raw total energy (eV for the cell shown): -47.97

***

# 9
Computed, not measured: YLuGa2Pt4 after structural relaxation at the PBE level of DFT.

Unit cell a=4.3710 b=4.3710 c=9.0470 alpha=90.00 beta=90.00 gamma=120.00
Element x y z (fractional)
Y: 0.0000 0.0000 0.0000
Lu: 0.6667 0.3333 0.5000
Ga: 0.3333 0.6667 0.2508
Ga: 0.3333 0.6667 0.7492
Pt: 0.0000 0.0000 0.3404
Pt: 0.0000 0.0000 0.6596
Pt: 0.6667 0.3333 0.1681
Pt: 0.6667 0.3333 0.8319

## Properties
Raw total energy (eV for the cell shown): -49.84

***

# 10
Computed, not measured: RbLuGa after structural relaxation at the PBE level of DFT.

Unit cell a=5.3587 b=5.3587 c=5.3587 alpha=60.00 beta=60.00 gamma=60.00
Element x y z (fractional)
Rb: 0.0000 0.0000 0.0000
Lu: 0.2500 0.2500 0.2500
Ga: 0.7500 0.7500 0.7500

## Properties
Raw total energy (eV for the cell shown): -5.38

***

# 11
Computed, not measured: RbLuGa after structural relaxation at the PBE level of DFT.

Unit cell a=5.3694 b=5.3694 c=5.3694 alpha=60.00 beta=60.00 gamma=60.00
Element x y z (fractional)
Rb: 0.0000 0.0000 0.0000
Lu: 0.5000 0.5000 0.5000
Ga: 0.7500 0.7500 0.7500

## Properties
Raw total energy (eV for the cell shown): -7.01

***

# 12
Computed, not measured: RbLuGaSe3 after structural relaxation at the PBE level of DFT.

Unit cell a=7.8622 b=7.8622 c=10.7209 alpha=90.00 beta=90.00 gamma=146.63
Element x y z (fractional)
Rb: 0.2483 0.7517 0.7500
Rb: 0.7517 0.2483 0.2500
Lu: 0.5000 0.5000 0.0000
Lu: 0.5000 0.5000 0.5000
Ga: 0.0161 0.9839 0.2500
Ga: 0.9839 0.0161 0.7500
Se: 0.1161 0.8839 0.0594
Se: 0.1161 0.8839 0.4406
Se: 0.4388 0.5612 0.2500
Se: 0.5612 0.4388 0.7500
Se: 0.8839 0.1161 0.5594
Se: 0.8839 0.1161 0.9406

## Properties
Raw total energy (eV for the cell shown): -52.38

***

# 13
Computed, not measured: RbLuGaTe3 after structural relaxation at the PBE level of DFT.

Unit cell a=8.3465 b=8.3465 c=11.5560 alpha=90.00 beta=90.00 gamma=147.05
Element x y z (fractional)
Rb: 0.2476 0.7524 0.7500
Rb: 0.7524 0.2476 0.2500
Lu: 0.0000 0.0000 0.0000
Lu: 0.0000 0.0000 0.5000
Ga: 0.4747 0.5253 0.2500
Ga: 0.5253 0.4747 0.7500
Te: 0.0635 0.9365 0.2500
Te: 0.3784 0.6216 0.0514
Te: 0.3784 0.6216 0.4486
Te: 0.6216 0.3784 0.5514
Te: 0.6216 0.3784 0.9486
Te: 0.9365 0.0635 0.7500

## Properties
Raw total energy (eV for the cell shown): -46.82

***

# 14
Computed, not measured: LuGaRe2 after structural relaxation at the PBE level of DFT.

Unit cell a=4.5524 b=4.5524 c=4.5524 alpha=60.00 beta=60.00 gamma=60.00
Element x y z (fractional)
Lu: 0.0000 0.0000 0.0000
Ga: 0.7500 0.7500 0.7500
Re: 0.2500 0.2500 0.2500
Re: 0.5000 0.5000 0.5000

## Properties
Raw total energy (eV for the cell shown): -31.88

***

# 15
Computed, not measured: LuGaRe after structural relaxation at the PBE level of DFT.

Unit cell a=4.3996 b=4.3996 c=4.3996 alpha=60.00 beta=60.00 gamma=60.00
Element x y z (fractional)
Lu: 0.0000 0.0000 0.0000
Ga: 0.2500 0.2500 0.2500
Re: 0.5000 0.5000 0.5000

## Properties
Raw total energy (eV for the cell shown): -19.13

***

# 16
Computed, not measured: LuGaRe after structural relaxation at the PBE level of DFT.

Unit cell a=4.5797 b=4.5797 c=4.5797 alpha=60.00 beta=60.00 gamma=60.00
Element x y z (fractional)
Lu: 0.0000 0.0000 0.0000
Ga: 0.7500 0.7500 0.7500
Re: 0.2500 0.2500 0.2500

## Properties
Raw total energy (eV for the cell shown): -16.72

***

# 17
Computed, not measured: Lu2GaRe after structural relaxation at the PBE level of DFT.

Unit cell a=4.7660 b=4.7660 c=4.7660 alpha=60.00 beta=60.00 gamma=60.00
Element x y z (fractional)
Lu: 0.0000 0.0000 0.0000
Lu: 0.2500 0.2500 0.2500
Ga: 0.5000 0.5000 0.5000
Re: 0.7500 0.7500 0.7500

## Properties
Raw total energy (eV for the cell shown): -24.15

***

# 18
Computed, not measured: LuGa2Re2 after structural relaxation at the PBE level of DFT.

Unit cell a=9.4321 b=4.6192 c=9.8525 alpha=71.13 beta=27.61 gamma=81.27
Element x y z (fractional)
Lu: 0.0000 0.0000 0.0000
Lu: 0.2500 0.2500 0.2500
Ga: 0.3162 0.7274 0.5744
Ga: 0.6756 0.8679 0.9338
Ga: 0.7274 0.3162 0.3821
Ga: 0.8679 0.6756 0.5226
Re: 0.3550 0.5386 0.8325
Re: 0.4175 0.9761 0.8950
Re: 0.5386 0.3550 0.2739
Re: 0.9761 0.4175 0.7114

## Properties
Raw total energy (eV for the cell shown): -70.34

***

# 19
Computed, not measured: Lu5GaS9 after structural relaxation at the PBE level of DFT.

Unit cell a=7.7638 b=10.0575 c=10.1674 alpha=106.35 beta=100.22 gamma=101.93
Element x y z (fractional)
Lu: 0.0364 0.1885 0.4562
Lu: 0.1362 0.8532 0.2225
Lu: 0.2489 0.4901 0.0104
Lu: 0.3102 0.8219 0.8785
Lu: 0.3604 0.1570 0.7668
Lu: 0.6396 0.8430 0.2332
Lu: 0.6898 0.1781 0.1215
Lu: 0.7511 0.5099 0.9896
Lu: 0.8638 0.1468 0.7775
Lu: 0.9636 0.8115 0.5438
Ga: 0.3764 0.5979 0.4754
Ga: 0.6236 0.4021 0.5246
S: 0.0485 0.6675 0.9570
S: 0.0869 0.9815 0.8149
S: 0.1405 0.3220 0.7360
S: 0.1837 0.6610 0.6104
S: 0.2312 0.0029 0.4939
S: 0.3257 0.3487 0.3956
S: 0.3488 0.6780 0.2788
S: 0.4178 0.9923 0.1545
S: 0.4801 0.3338 0.0393
S: 0.5199 0.6662 0.9607
S: 0.5822 0.0077 0.8455
S: 0.6512 0.3220 0.7212
S: 0.6743 0.6513 0.6044
S: 0.7688 0.9971 0.5061
S: 0.8163 0.3390 0.3896
S: 0.8595 0.6780 0.2640
S: 0.9131 0.0185 0.1851
S: 0.9515 0.3325 0.0430

## Properties
Raw total energy (eV for the cell shown): -180.71

***

# 20
Computed, not measured: Lu2Ga2Sb3 after structural relaxation at the PBE level of DFT.

Unit cell a=11.5079 b=11.5079 c=3.9569 alpha=90.00 beta=90.00 gamma=158.27
Element x y z (fractional)
Lu: 0.1914 0.8086 0.0000
Lu: 0.8086 0.1914 0.0000
Ga: 0.0602 0.9398 0.0000
Ga: 0.9398 0.0602 0.0000
Sb: 0.3206 0.6794 0.5000
Sb: 0.5000 0.5000 0.5000
Sb: 0.6794 0.3206 0.5000

## Properties
Raw total energy (eV for the cell shown): -29.40

***

Number 1: V 18.4 A^3/atom. Number 2: V 19.2 A^3/atom. Number 3: V 18.8 A^3/atom. Number 4: V 28.4 A^3/atom. Number 5: V 17.7 A^3/atom. Number 6: V 17.9 A^3/atom. Number 7: V 19.2 A^3/atom. Number 8: V 18.5 A^3/atom. Number 9: V 18.7 A^3/atom. Number 10: V 36.3 A^3/atom. Number 11: V 36.5 A^3/atom. Number 12: V 30.4 A^3/atom. Number 13: V 36.5 A^3/atom. Number 14: V 16.7 A^3/atom. Number 15: V 20.1 A^3/atom. Number 16: V 22.6 A^3/atom. Number 17: V 19.1 A^3/atom. Number 18: V 17.9 A^3/atom. Number 19: V 24.0 A^3/atom. Number 20: V 27.7 A^3/atom.